# 1
Below is a geometry-optimized LiMg3Ta structure, with properties calculated at the PBE-GGA level.

Results
crystal system	cubic
Fermi-level density of states	1.73	states/eV per cell
calculated volume	95.1	Å³ per cell
total magnetic moment	0.00	μB per atom
energy relative to the elements	0.779	eV/atom

Unit cell a=4.5644 b=4.5644 c=4.5644 alpha=90.00 beta=90.00 gamma=90.00
Last column: nearest neighbours and their distance in Å.
Atoms (fractional coordinates):
Mg: 0.0000 0.5000 0.0000  2 Li 2.28
Mg: 0.0000 0.0000 0.5000  2 Li 2.28
Mg: 0.5000 0.0000 0.0000  2 Li 2.28
Li: 0.0000 0.0000 0.0000  6 Mg 2.28
Ta: 0.5000 0.5000 0.5000  12 Mg 3.23

# 2
Below is a geometry-optimized LiMg3Ta structure, with properties calculated at the PBE-GGA level.

Results
crystal system	cubic
Fermi-level density of states	4.10	states/eV per cell
calculated volume	166.0	Å³ per cell
total magnetic moment	0.68	μB per atom
energy relative to the elements	1.122	eV/atom

Unit cell a=5.4960 b=5.4960 c=5.4960 alpha=90.00 beta=90.00 gamma=90.00
Last column: nearest neighbours and their distance in Å.
Atoms (fractional coordinates):
Mg: 0.0000 0.5000 0.0000  2 Ta 2.75
Mg: 0.0000 0.0000 0.5000  2 Ta 2.75
Mg: 0.5000 0.0000 0.0000  2 Ta 2.75
Li: 0.5000 0.5000 0.5000  12 Mg 3.89
Ta: 0.0000 0.0000 0.0000  6 Mg 2.75

# 3
Below is a geometry-optimized LiMgTa4 structure, with properties calculated at the PBE-GGA level.

Results
crystal system	cubic
Fermi-level density of states	8.63	states/eV per cell
calculated volume	120.5	Å³ per cell
total magnetic moment	0.00	μB per atom
energy relative to the elements	0.558	eV/atom

Unit cell a=5.5445 b=5.5445 c=5.5445 alpha=60.00 beta=60.00 gamma=60.00
Last column: nearest neighbours and their distance in Å.
Atoms (fractional coordinates):
Li: 0.7500 0.7500 0.7500  12 Ta 3.25, 4 Mg 3.40
Mg: 0.0000 0.0000 0.0000  12 Ta 3.25, 4 Li 3.40
Ta: 0.8758 0.3747 0.3747  6 Ta 2.77-2.78
Ta: 0.3747 0.3747 0.8758  6 Ta 2.77-2.78
Ta: 0.3747 0.8758 0.3747  6 Ta 2.77-2.78
Ta: 0.3747 0.3747 0.3747  6 Ta 2.77-2.78

# 4
Below is a geometry-optimized LiMg2TaTi structure, with properties calculated at the PBE-GGA level.

Results
crystal system	tetragonal
Fermi-level density of states	2.62	states/eV per cell
calculated volume	105.2	Å³ per cell
total magnetic moment	0.39	μB per atom
energy relative to the elements	1.518	eV/atom

Unit cell a=4.9322 b=4.3246 c=4.9322 alpha=90.00 beta=90.00 gamma=90.00
Last column: nearest neighbours and their distance in Å.
Atoms (fractional coordinates):
Mg: 0.0000 0.0000 0.5000  2 Ti 2.47
Mg: 0.5000 0.0000 0.0000  2 Ti 2.47
Ti: 0.0000 0.0000 0.0000  2 Li 2.16
Li: 0.0000 0.5000 0.0000  2 Ti 2.16
Ta: 0.5000 0.5000 0.5000  8 Mg 3.28, 4 Li 3.49

# 5
Below is a geometry-optimized Li2Tb3Mg9 structure, with properties calculated at the PBE-GGA level.

Results
crystal system	orthorhombic
Fermi-level density of states	10.81	states/eV per cell
calculated volume	345.6	Å³ per cell
total magnetic moment	0.00	μB per atom
energy relative to the elements	-0.008	eV/atom

Unit cell a=5.0223 b=8.6775 c=8.6775 alpha=81.42 beta=73.18 gamma=73.18
Last column: nearest neighbours and their distance in Å.
Atoms (fractional coordinates):
Li: 0.5000 0.3451 0.6549  8 Mg 2.93-3.14, 2 Tb 3.19
Li: 0.5000 0.6549 0.3451  8 Mg 2.93-3.14, 2 Tb 3.19
Tb: 0.0000 0.0000 0.0000  12 Mg 3.33-3.50, 2 Tb 3.41
Tb: 0.7192 0.2808 0.2808  2 Li 3.19, 1 Tb 3.41, 6 Mg 3.42-3.52
Tb: 0.2808 0.7192 0.7192  2 Li 3.19, 1 Tb 3.41, 6 Mg 3.42-3.52
Mg: 0.0000 0.5000 0.5000  4 Li 3.06, 4 Mg 3.09
Mg: 0.6328 0.9965 0.7378  1 Li 2.93, 5 Mg 2.93-3.23
Mg: 0.3672 0.0035 0.2622  1 Li 2.93, 5 Mg 2.93-3.23
Mg: 0.6328 0.7378 0.9965  1 Li 2.93, 5 Mg 2.93-3.23
Mg: 0.3672 0.2622 0.0035  1 Li 2.93, 5 Mg 2.93-3.23
Mg: 0.8616 0.8675 0.4092  4 Mg 2.98-3.09, 2 Li 3.14
Mg: 0.1384 0.1325 0.5908  4 Mg 2.98-3.09, 2 Li 3.14
Mg: 0.8616 0.4092 0.8675  4 Mg 2.98-3.09, 2 Li 3.14
Mg: 0.1384 0.5908 0.1325  4 Mg 2.98-3.09, 2 Li 3.14

# 6
Below is a geometry-optimized LiTbMg3 structure, with properties calculated at the PBE-GGA level.

Results
crystal system	orthorhombic
Fermi-level density of states	16.75	states/eV per cell
calculated volume	474.5	Å³ per cell
total magnetic moment	0.00	μB per atom
energy relative to the elements	0.121	eV/atom

Unit cell a=6.9374 b=6.9627 c=9.8233 alpha=90.00 beta=90.00 gamma=90.00
Last column: nearest neighbours and their distance in Å.
Atoms (fractional coordinates):
Li: 0.0000 0.5000 0.0000  6 Mg 2.46
Li: 0.5000 0.0000 0.5000  6 Mg 2.46
Li: 0.5000 0.0000 0.0000  6 Mg 2.46
Li: 0.0000 0.5000 0.5000  6 Mg 2.46
Tb: 0.4999 0.4703 0.7500  12 Mg 3.45-3.52
Tb: 0.0001 0.9703 0.2500  12 Mg 3.45-3.52
Tb: 0.5001 0.5297 0.2500  12 Mg 3.45-3.52
Tb: 0.9999 0.0297 0.7500  12 Mg 3.45-3.52
Mg: 0.7500 0.2500 0.0116  2 Li 2.46
Mg: 0.7500 0.7500 0.5116  2 Li 2.46
Mg: 0.7500 0.7500 0.9884  2 Li 2.46
Mg: 0.2500 0.7500 0.5116  2 Li 2.46
Mg: 0.2500 0.7500 0.9884  2 Li 2.46
Mg: 0.2500 0.2500 0.4884  2 Li 2.46
Mg: 0.2500 0.2500 0.0116  2 Li 2.46
Mg: 0.7500 0.2500 0.4884  2 Li 2.46
Mg: 0.4998 0.9753 0.7500  2 Li 2.46
Mg: 0.0002 0.4753 0.2500  2 Li 2.46
Mg: 0.5002 0.0247 0.2500  2 Li 2.46
Mg: 0.9998 0.5247 0.7500  2 Li 2.46

# 7
Below is a geometry-optimized Li2TbMg5 structure, with properties calculated at the PBE-GGA level.

Results
crystal system	orthorhombic
Fermi-level density of states	4.58	states/eV per cell
calculated volume	185.5	Å³ per cell
total magnetic moment	0.00	μB per atom
energy relative to the elements	-0.020	eV/atom

Unit cell a=3.2830 b=7.8013 c=7.8013 alpha=74.21 beta=77.85 gamma=77.85
Last column: nearest neighbours and their distance in Å.
Atoms (fractional coordinates):
Li: 0.7485 0.7515 0.7515  7 Mg 2.88-3.06
Li: 0.2515 0.2485 0.2485  7 Mg 2.88-3.06
Tb: 0.0000 0.0000 0.0000  2 Tb 3.28, 4 Li 3.41, 8 Mg 3.42
Mg: 0.0000 0.5000 0.5000  2 Li 3.02, 10 Mg 3.16-3.28
Mg: 0.6342 0.5964 0.1352  3 Li 2.88-3.06, 3 Mg 3.16-3.22
Mg: 0.3658 0.4036 0.8648  3 Li 2.88-3.06, 3 Mg 3.16-3.22
Mg: 0.3658 0.8648 0.4036  3 Li 2.88-3.06, 3 Mg 3.16-3.22
Mg: 0.6342 0.1352 0.5964  3 Li 2.88-3.06, 3 Mg 3.16-3.22

# 8
Below is a geometry-optimized Li2TbMg6 structure, with properties calculated at the PBE-GGA level.

Results
crystal system	monoclinic
Fermi-level density of states	5.28	states/eV per cell
calculated volume	215.9	Å³ per cell
total magnetic moment	0.01	μB per atom
energy relative to the elements	0.003	eV/atom

Unit cell a=3.1258 b=8.9400 c=11.7818 alpha=112.30 beta=130.74 gamma=90.00
Last column: nearest neighbours and their distance in Å.
Atoms (fractional coordinates):
Li: 0.7394 0.6515 0.3030  2 Li 3.13, 10 Mg 3.14-3.34
Li: 0.2606 0.3485 0.6970  2 Li 3.13, 10 Mg 3.14-3.34
Tb: 0.0000 0.0000 0.0000  2 Tb 3.13, 12 Mg 3.37-3.47
Mg: 0.6433 0.6536 0.6552  6 Mg 3.02-3.21, 3 Li 3.14-3.34
Mg: 0.3567 0.3464 0.3448  6 Mg 3.02-3.21, 3 Li 3.14-3.34
Mg: 0.3567 0.9984 0.3448  6 Mg 3.02-3.21, 3 Li 3.14-3.34
Mg: 0.5000 0.3335 0.0000  5 Mg 2.98-3.13, 4 Li 3.18-3.19
Mg: 0.5000 0.6665 0.0000  5 Mg 2.98-3.13, 4 Li 3.18-3.19
Mg: 0.6433 0.0016 0.6552  6 Mg 3.02-3.21, 3 Li 3.14-3.34